{"formula": "LiV3P3H2O12", "functional": "PBEsol", "state": "optimized geometry", "lattice": [[5.8596, -6.1426, 0.0000], [5.8596, 6.1426, 0.0000], [-2.7972, 0.0000, 5.8850]], "species": ["Li", "Li", "V", "V", "V", "V", "V", "V", "P", "P", "P", "P", "P", "P", "H", "H", "H", "H", "O", "O", "O", "O", "O", "O", "O", "O", "O", "O", "O", "O", "O", "O", "O", "O", "O", "O", "O", "O", "O", "O", "O", "O"], "frac_coords": [[0.0160, 0.9840, 0.7500], [0.9840, 0.0160, 0.2500], [0.0402, 0.3627, 0.1129], [0.2883, 0.7117, 0.7500], [0.3627, 0.0402, 0.6129], [0.6373, 0.9598, 0.3871], [0.7117, 0.2883, 0.2500], [0.9598, 0.6373, 0.8871], [0.0993, 0.3239, 0.6086], [0.3239, 0.0993, 0.1086], [0.3248, 0.6752, 0.2500], [0.6752, 0.3248, 0.7500], [0.6761, 0.9007, 0.8914], [0.9007, 0.6761, 0.3914], [0.3776, 0.3801, 0.1890], [0.3801, 0.3776, 0.6890], [0.6199, 0.6224, 0.3110], [0.6224, 0.6199, 0.8110], [0.0266, 0.6808, 0.6217], [0.0316, 0.3970, 0.8054], [0.1353, 0.1440, 0.5866], [0.1440, 0.1353, 0.0866], [0.2191, 0.7116, 0.0361], [0.2632, 0.4414, 0.6496], [0.2884, 0.4892, 0.2309], [0.2884, 0.7809, 0.4639], [0.3192, 0.9734, 0.8783], [0.3970, 0.0316, 0.3054], [0.4414, 0.2632, 0.1496], [0.4892, 0.2884, 0.7309], [0.5108, 0.7116, 0.2691], [0.5586, 0.7368, 0.8504], [0.6030, 0.9684, 0.6946], [0.6808, 0.0266, 0.1217], [0.7116, 0.2191, 0.5361], [0.7116, 0.5108, 0.7691], [0.7368, 0.5586, 0.3504], [0.7809, 0.2884, 0.9639], [0.8560, 0.8647, 0.9134], [0.8647, 0.8560, 0.4134], [0.9684, 0.6030, 0.1946], [0.9734, 0.3192, 0.3783]], "m_tot_mub_per_cell": 18.00, "spacegroup": "C2/c", "e_tot_ev_per_atom": -7.550}


{"formula": "LiVP2H2O8", "functional": "PBEsol", "state": "optimized geometry", "lattice": [[4.9704, -7.9313, 0.0000], [4.9704, 7.9313, 0.0000], [-4.4708, 0.0000, 7.2737]], "species": ["Li", "Li", "Li", "Li", "V", "V", "V", "V", "P", "P", "P", "P", "P", "P", "P", "P", "H", "H", "H", "H", "H", "H", "H", "H", "O", "O", "O", "O", "O", "O", "O", "O", "O", "O", "O", "O", "O", "O", "O", "O", "O", "O", "O", "O", "O", "O", "O", "O", "O", "O", "O", "O", "O", "O", "O", "O"], "frac_coords": [[0.1842, 0.8158, 0.5000], [0.3258, 0.7154, 0.0173], [0.7154, 0.3258, 0.5173], [0.8158, 0.1842, 0.0000], [0.0733, 0.7832, 0.8188], [0.2980, 0.5144, 0.2926], [0.5144, 0.2980, 0.7926], [0.7832, 0.0733, 0.3188], [0.0798, 0.0808, 0.1693], [0.0808, 0.0798, 0.6693], [0.1252, 0.4927, 0.5837], [0.4927, 0.1252, 0.0837], [0.5273, 0.9683, 0.5430], [0.5770, 0.6407, 0.1223], [0.6407, 0.5770, 0.6223], [0.9683, 0.5273, 0.0430], [0.1419, 0.2151, 0.9610], [0.2151, 0.1419, 0.4610], [0.2652, 0.4155, 0.7547], [0.4155, 0.2652, 0.2547], [0.6498, 0.8735, 0.7253], [0.8126, 0.8157, 0.8892], [0.8157, 0.8126, 0.3892], [0.8735, 0.6498, 0.2253], [0.0054, 0.9141, 0.9910], [0.0553, 0.1741, 0.8301], [0.0606, 0.4386, 0.1107], [0.0637, 0.6331, 0.9552], [0.0991, 0.9273, 0.6782], [0.1352, 0.6677, 0.6332], [0.1741, 0.0553, 0.3301], [0.2079, 0.4634, 0.4580], [0.2220, 0.2493, 0.1680], [0.2444, 0.5151, 0.7735], [0.2493, 0.2220, 0.6680], [0.3315, 0.9319, 0.0009], [0.3750, 0.7713, 0.4112], [0.3968, 0.5458, 0.1252], [0.4386, 0.0606, 0.6107], [0.4634, 0.2079, 0.9580], [0.5151, 0.2444, 0.2735], [0.5289, 0.5713, 0.4523], [0.5458, 0.3968, 0.6252], [0.5713, 0.5289, 0.9523], [0.6102, 0.8217, 0.1376], [0.6331, 0.0637, 0.4552], [0.6599, 0.9856, 0.7221], [0.6677, 0.1352, 0.1332], [0.6787, 0.7405, 0.7875], [0.7405, 0.6787, 0.2875], [0.7713, 0.3750, 0.9112], [0.8217, 0.6102, 0.6376], [0.9141, 0.0054, 0.4910], [0.9273, 0.0991, 0.1782], [0.9319, 0.3315, 0.5009], [0.9856, 0.6599, 0.2221]], "m_tot_mub_per_cell": 8.00, "spacegroup": "Cc", "e_tot_ev_per_atom": -7.146}


{"formula": "LiVP3H8O13", "functional": "PBEsol", "state": "optimized geometry", "lattice": [[6.9134, 0.0000, 0.0000], [1.2772, 7.2798, 0.0000], [1.8808, 0.4236, 9.7632]], "species": ["Li", "Li", "V", "V", "P", "P", "P", "P", "P", "P", "H", "H", "H", "H", "H", "H", "H", "H", "H", "H", "H", "H", "H", "H", "H", "H", "O", "O", "O", "O", "O", "O", "O", "O", "O", "O", "O", "O", "O", "O", "O", "O", "O", "O", "O", "O", "O", "O", "O", "O", "O", "O"], "frac_coords": [[0.0000, 0.0000, 0.0000], [0.0000, 0.5000, 0.5000], [0.2424, 0.1840, 0.2038], [0.7576, 0.8160, 0.7962], [0.2512, 0.8291, 0.4606], [0.2938, 0.8006, 0.7447], [0.4193, 0.5342, 0.2791], [0.5807, 0.4658, 0.7209], [0.7062, 0.1994, 0.2553], [0.7488, 0.1709, 0.5394], [0.0702, 0.2949, 0.7954], [0.1032, 0.6104, 0.0870], [0.1128, 0.2371, 0.5801], [0.1469, 0.3396, 0.9768], [0.3090, 0.8496, 0.1078], [0.3108, 0.2988, 0.6139], [0.3541, 0.9638, 0.9691], [0.3703, 0.3795, 0.9770], [0.6297, 0.6205, 0.0230], [0.6459, 0.0362, 0.0309], [0.6892, 0.7012, 0.3861], [0.6910, 0.1504, 0.8922], [0.8531, 0.6604, 0.0232], [0.8872, 0.7629, 0.4199], [0.8968, 0.3896, 0.9130], [0.9298, 0.7051, 0.2046], [0.0095, 0.2846, 0.8968], [0.0695, 0.7439, 0.5118], [0.0768, 0.8367, 0.8057], [0.1648, 0.3130, 0.6396], [0.2384, 0.3774, 0.0389], [0.2497, 0.9863, 0.3598], [0.2604, 0.4160, 0.3269], [0.2714, 0.9752, 0.0634], [0.3392, 0.8819, 0.5887], [0.3601, 0.5830, 0.7279], [0.4201, 0.6474, 0.1477], [0.4308, 0.6637, 0.4011], [0.4381, 0.8680, 0.8183], [0.5619, 0.1320, 0.1817], [0.5692, 0.3363, 0.5989], [0.5799, 0.3526, 0.8523], [0.6399, 0.4170, 0.2721], [0.6607, 0.1181, 0.4113], [0.7286, 0.0248, 0.9366], [0.7396, 0.5840, 0.6731], [0.7503, 0.0137, 0.6402], [0.7616, 0.6226, 0.9611], [0.8352, 0.6870, 0.3604], [0.9232, 0.1633, 0.1943], [0.9305, 0.2561, 0.4882], [0.9905, 0.7154, 0.1032]], "m_tot_mub_per_cell": 6.00, "spacegroup": "P-1", "e_tot_ev_per_atom": -6.380}


{"formula": "Li2VP4H16O20", "functional": "PBEsol", "state": "optimized geometry", "lattice": [[6.9488, 0.0000, 0.0000], [0.0000, 10.4094, 0.0000], [-4.8318, 0.0000, 10.5209]], "species": ["Li", "Li", "Li", "Li", "V", "V", "P", "P", "P", "P", "P", "P", "P", "P", "H", "H", "H", "H", "H", "H", "H", "H", "H", "H", "H", "H", "H", "H", "H", "H", "H", "H", "H", "H", "H", "H", "H", "H", "H", "H", "H", "H", "H", "H", "H", "H", "O", "O", "O", "O", "O", "O", "O", "O", "O", "O", "O", "O", "O", "O", "O", "O", "O", "O", "O", "O", "O", "O", "O", "O", "O", "O", "O", "O", "O", "O", "O", "O", "O", "O", "O", "O", "O", "O", "O", "O"], "frac_coords": [[0.2125, 0.1646, 0.4486], [0.2125, 0.3354, 0.9486], [0.7875, 0.6646, 0.0514], [0.7875, 0.8354, 0.5514], [0.5000, 0.0000, 0.0000], [0.5000, 0.5000, 0.5000], [0.0405, 0.0443, 0.7770], [0.0405, 0.4557, 0.2770], [0.3179, 0.7316, 0.0880], [0.3179, 0.7684, 0.5880], [0.6821, 0.2316, 0.4120], [0.6821, 0.2684, 0.9120], [0.9595, 0.5443, 0.7230], [0.9595, 0.9557, 0.2230], [0.1016, 0.5915, 0.9472], [0.1016, 0.9085, 0.4472], [0.1041, 0.5892, 0.4342], [0.1041, 0.9108, 0.9342], [0.1400, 0.7182, 0.7201], [0.1400, 0.7818, 0.2201], [0.2431, 0.0979, 0.1014], [0.2431, 0.4021, 0.6014], [0.3342, 0.0458, 0.6932], [0.3342, 0.4542, 0.1932], [0.4653, 0.1721, 0.1548], [0.4653, 0.3279, 0.6548], [0.4743, 0.5470, 0.1063], [0.4743, 0.9530, 0.6063], [0.4887, 0.6311, 0.8174], [0.4887, 0.8689, 0.3174], [0.5113, 0.1311, 0.6826], [0.5113, 0.3689, 0.1826], [0.5257, 0.0470, 0.3937], [0.5257, 0.4530, 0.8937], [0.5347, 0.6721, 0.3452], [0.5347, 0.8279, 0.8452], [0.6658, 0.5458, 0.8068], [0.6658, 0.9542, 0.3068], [0.7569, 0.5979, 0.3986], [0.7569, 0.9021, 0.8986], [0.8600, 0.2182, 0.7799], [0.8600, 0.2818, 0.2799], [0.8959, 0.0892, 0.0658], [0.8959, 0.4108, 0.5658], [0.8984, 0.0915, 0.5528], [0.8984, 0.4085, 0.0528], [0.0165, 0.1916, 0.8009], [0.0165, 0.3084, 0.3009], [0.0270, 0.0380, 0.1313], [0.0270, 0.4620, 0.6313], [0.1041, 0.6575, 0.0221], [0.1041, 0.8425, 0.5221], [0.1082, 0.5096, 0.8592], [0.1082, 0.9904, 0.3592], [0.2746, 0.0224, 0.8103], [0.2746, 0.4776, 0.3103], [0.3060, 0.6434, 0.5166], [0.3060, 0.8566, 0.0166], [0.3501, 0.1362, 0.0751], [0.3501, 0.3638, 0.5751], [0.3512, 0.7455, 0.7269], [0.3512, 0.7545, 0.2269], [0.3974, 0.0682, 0.6303], [0.3974, 0.4318, 0.1303], [0.4980, 0.1464, 0.4148], [0.4980, 0.3536, 0.9148], [0.5020, 0.6464, 0.0852], [0.5020, 0.8536, 0.5852], [0.6026, 0.5682, 0.8697], [0.6026, 0.9318, 0.3697], [0.6488, 0.2455, 0.7731], [0.6488, 0.2545, 0.2731], [0.6499, 0.6362, 0.4249], [0.6499, 0.8638, 0.9249], [0.6940, 0.1434, 0.9834], [0.6940, 0.3566, 0.4834], [0.7254, 0.5224, 0.6897], [0.7254, 0.9776, 0.1897], [0.8918, 0.0096, 0.6408], [0.8918, 0.4904, 0.1408], [0.8959, 0.1575, 0.4779], [0.8959, 0.3425, 0.9779], [0.9730, 0.5380, 0.3687], [0.9730, 0.9620, 0.8687], [0.9835, 0.6916, 0.6991], [0.9835, 0.8084, 0.1991]], "m_tot_mub_per_cell": 6.00, "spacegroup": "P2_1/c", "e_tot_ev_per_atom": -6.109}


{"formula": "LiZnP2HO7", "functional": "PBEsol", "state": "optimized geometry", "lattice": [[13.4192, 0.0000, 0.0000], [0.0000, 5.0277, 0.0000], [0.0000, 0.0000, 15.9908]], "species": ["Li", "Li", "Li", "Li", "Li", "Li", "Li", "Li", "Zn", "Zn", "Zn", "Zn", "Zn", "Zn", "Zn", "Zn", "P", "P", "P", "P", "P", "P", "P", "P", "P", "P", "P", "P", "P", "P", "P", "P", "H", "H", "H", "H", "H", "H", "H", "H", "O", "O", "O", "O", "O", "O", "O", "O", "O", "O", "O", "O", "O", "O", "O", "O", "O", "O", "O", "O", "O", "O", "O", "O", "O", "O", "O", "O", "O", "O", "O", "O", "O", "O", "O", "O", "O", "O", "O", "O", "O", "O", "O", "O", "O", "O", "O", "O", "O", "O", "O", "O", "O", "O", "O", "O"], "frac_coords": [[0.0520, 0.0886, 0.0000], [0.2410, 0.2991, 0.7382], [0.2590, 0.2991, 0.2382], [0.4480, 0.0886, 0.5000], [0.5520, 0.9114, 0.0000], [0.7410, 0.7009, 0.7382], [0.7590, 0.7009, 0.2382], [0.9480, 0.9114, 0.5000], [0.0527, 0.0878, 0.6624], [0.2379, 0.3128, 0.9214], [0.2621, 0.3128, 0.4214], [0.4473, 0.0878, 0.1624], [0.5527, 0.9122, 0.6624], [0.7379, 0.6872, 0.9214], [0.7621, 0.6872, 0.4214], [0.9473, 0.9122, 0.1624], [0.0675, 0.0225, 0.3302], [0.1387, 0.8207, 0.8317], [0.1421, 0.5946, 0.0874], [0.1487, 0.5908, 0.5715], [0.3513, 0.5908, 0.0715], [0.3579, 0.5946, 0.5874], [0.3613, 0.8207, 0.3317], [0.4325, 0.0225, 0.8302], [0.5675, 0.9775, 0.3302], [0.6387, 0.1793, 0.8317], [0.6421, 0.4054, 0.0874], [0.6487, 0.4092, 0.5715], [0.8513, 0.4092, 0.0715], [0.8579, 0.4054, 0.5874], [0.8613, 0.1793, 0.3317], [0.9325, 0.9775, 0.8302], [0.0959, 0.6942, 0.4309], [0.1061, 0.6166, 0.2179], [0.3939, 0.6166, 0.7179], [0.4041, 0.6942, 0.9309], [0.5959, 0.3058, 0.4309], [0.6061, 0.3834, 0.2179], [0.8939, 0.3834, 0.7179], [0.9041, 0.3058, 0.9309], [0.0187, 0.7588, 0.8349], [0.0490, 0.8510, 0.4100], [0.0509, 0.8549, 0.2514], [0.0598, 0.7960, 0.0773], [0.0653, 0.7901, 0.5840], [0.1383, 0.4754, 0.1789], [0.1465, 0.3717, 0.0240], [0.1475, 0.4952, 0.4793], [0.1519, 0.3660, 0.6351], [0.1556, 0.9763, 0.7512], [0.1598, 0.9756, 0.9121], [0.1655, 0.1672, 0.3313], [0.1878, 0.5473, 0.8301], [0.2471, 0.7511, 0.0831], [0.2529, 0.7511, 0.5831], [0.3122, 0.5473, 0.3301], [0.3345, 0.1672, 0.8313], [0.3402, 0.9756, 0.4121], [0.3444, 0.9763, 0.2512], [0.3481, 0.3660, 0.1351], [0.3525, 0.4952, 0.9793], [0.3535, 0.3717, 0.5240], [0.3617, 0.4754, 0.6789], [0.4347, 0.7901, 0.0840], [0.4402, 0.7960, 0.5773], [0.4491, 0.8549, 0.7514], [0.4510, 0.8510, 0.9100], [0.4813, 0.7588, 0.3349], [0.5187, 0.2412, 0.8349], [0.5490, 0.1490, 0.4100], [0.5509, 0.1451, 0.2514], [0.5598, 0.2040, 0.0773], [0.5653, 0.2099, 0.5840], [0.6383, 0.5246, 0.1789], [0.6465, 0.6283, 0.0240], [0.6475, 0.5048, 0.4793], [0.6519, 0.6340, 0.6351], [0.6556, 0.0237, 0.7512], [0.6598, 0.0244, 0.9121], [0.6655, 0.8328, 0.3313], [0.6878, 0.4527, 0.8301], [0.7471, 0.2489, 0.0831], [0.7529, 0.2489, 0.5831], [0.8122, 0.4527, 0.3301], [0.8345, 0.8328, 0.8313], [0.8402, 0.0244, 0.4121], [0.8444, 0.0237, 0.2512], [0.8481, 0.6340, 0.1351], [0.8525, 0.5048, 0.9793], [0.8535, 0.6283, 0.5240], [0.8617, 0.5246, 0.6789], [0.9347, 0.2099, 0.0840], [0.9402, 0.2040, 0.5773], [0.9491, 0.1451, 0.7514], [0.9510, 0.1490, 0.9100], [0.9813, 0.2412, 0.3349]], "m_tot_mub_per_cell": 0.00, "spacegroup": "Pca2_1", "e_tot_ev_per_atom": -6.631}


{"formula": "LiZnPH2O5", "functional": "PBEsol", "state": "optimized geometry", "lattice": [[10.7909, 0.0000, 0.0000], [0.0000, 7.9565, 0.0000], [0.0000, 0.0000, 4.9564]], "species": ["Li", "Li", "Li", "Li", "Zn", "Zn", "Zn", "Zn", "P", "P", "P", "P", "H", "H", "H", "H", "H", "H", "H", "H", "O", "O", "O", "O", "O", "O", "O", "O", "O", "O", "O", "O", "O", "O", "O", "O", "O", "O", "O", "O"], "frac_coords": [[0.1859, 0.1814, 0.0000], [0.3141, 0.6814, 0.5000], [0.6859, 0.3186, 0.0000], [0.8141, 0.8186, 0.5000], [0.1236, 0.3763, 0.4989], [0.3764, 0.8763, 0.9989], [0.6236, 0.1237, 0.4989], [0.8764, 0.6237, 0.9989], [0.1645, 0.5907, 0.9961], [0.3355, 0.0907, 0.4961], [0.6645, 0.9093, 0.9961], [0.8355, 0.4093, 0.4961], [0.0160, 0.0001, 0.1694], [0.0278, 0.8200, 0.6113], [0.4722, 0.3200, 0.1113], [0.4840, 0.5001, 0.6694], [0.5160, 0.4999, 0.1694], [0.5278, 0.6800, 0.6113], [0.9722, 0.1800, 0.1113], [0.9840, 0.9999, 0.6694], [0.0164, 0.0854, 0.0224], [0.0445, 0.6848, 0.9163], [0.1612, 0.4097, 0.8778], [0.1800, 0.5768, 0.3061], [0.2249, 0.1882, 0.3768], [0.2751, 0.6882, 0.8768], [0.3200, 0.0768, 0.8061], [0.3388, 0.9097, 0.3778], [0.4555, 0.1848, 0.4163], [0.4836, 0.5854, 0.5224], [0.5164, 0.4146, 0.0224], [0.5445, 0.8152, 0.9163], [0.6612, 0.0903, 0.8778], [0.6800, 0.9232, 0.3061], [0.7249, 0.3118, 0.3768], [0.7751, 0.8118, 0.8768], [0.8200, 0.4232, 0.8061], [0.8388, 0.5903, 0.3778], [0.9555, 0.3152, 0.4163], [0.9836, 0.9146, 0.5224]], "m_tot_mub_per_cell": 0.00, "spacegroup": "Pna2_1", "e_tot_ev_per_atom": -6.029}